Here is Li3Mo3P4O16 after structural relaxation from the Alexandria database. Energies are from PBE+U.

Calculated values
D(E_F) = 0.0 states/eV/f.u.
Density = 3.7 Mg/m³
Calculated total energy = -7.07 eV per atom
Space-group type = P2_1/c (14)
Relative energy among the computed polymorphs = 0.000 eV/atom

Cell lengths 8.8052, 5.1246, 15.7331 Å; angles 90.00, 118.57, 90.00 degrees
Sites, in units of the cell vectors:
Li 0.0000 0.0000 0.0000
Li 0.0000 0.5000 0.5000
Li 0.2605 0.0563 0.6115
Li 0.2605 0.4437 0.1115
Li 0.7395 0.5563 0.8885
Li 0.7395 0.9437 0.3885
Mo 0.2184 0.5252 0.7189
Mo 0.2184 0.9748 0.2189
Mo 0.5000 0.0000 0.5000
Mo 0.5000 0.5000 0.0000
Mo 0.7816 0.0252 0.7811
Mo 0.7816 0.4748 0.2811
P 0.0651 0.5018 0.8888
P 0.0651 0.9982 0.3888
P 0.4693 0.0053 0.8498
P 0.4693 0.4947 0.3498
P 0.5307 0.5053 0.6502
P 0.5307 0.9947 0.1502
P 0.9349 0.0018 0.6112
P 0.9349 0.4982 0.1112
O 0.0254 0.7467 0.6036
O 0.0254 0.7533 0.1036
O 0.0548 0.2291 0.6129
O 0.0548 0.2709 0.1129
O 0.0835 0.5099 0.7979
O 0.0835 0.9901 0.2979
O 0.2410 0.5155 0.9836
O 0.2410 0.9845 0.4836
O 0.3407 0.0340 0.1292
O 0.3407 0.4660 0.6292
O 0.3453 0.5922 0.2458
O 0.3453 0.9078 0.7458
O 0.4288 0.1941 0.3548
O 0.4288 0.3059 0.8548
O 0.4337 0.6504 0.4205
O 0.4337 0.8496 0.9205
O 0.5663 0.1504 0.0795
O 0.5663 0.3496 0.5795
O 0.5712 0.6941 0.1452
O 0.5712 0.8059 0.6452
O 0.6547 0.0922 0.2542
O 0.6547 0.4078 0.7542
O 0.6593 0.5340 0.3708
O 0.6593 0.9660 0.8708
O 0.7590 0.0155 0.5164
O 0.7590 0.4845 0.0164
O 0.9165 0.0099 0.7021
O 0.9165 0.4901 0.2021
O 0.9452 0.7291 0.8871
O 0.9452 0.7709 0.3871
O 0.9746 0.2467 0.8964
O 0.9746 0.2533 0.3964